(P)
# NaZn3Ni

NaZn3Ni after structural relaxation (GGA-PBE, Alexandria via LeMat-Bulk).

Results
Its total moment is 0.000 μB per atom. As for the space group: Pm-3m.

a = 4.9258 Å, b = 4.9258 Å, c = 4.9258 Å
α = 90.00°, β = 90.00°, γ = 90.00°
Closest atoms and distances in Å follow each position.
Atoms (fractional coordinates):
Na  0.0000  0.0000  0.0000  6 Zn 2.46
Zn  0.0000  0.0000  0.5000  2 Na 2.46
Zn  0.0000  0.5000  0.0000  2 Na 2.46
Zn  0.5000  0.0000  0.0000  2 Na 2.46
Ni  0.5000  0.5000  0.5000  12 Zn 3.48



(Q)
# NaZn3Ni

NaZn3Ni after structural relaxation (GGA-PBE, Alexandria via LeMat-Bulk).

Results
Its total moment is 0.000 μB per atom. As for the space group: Pm-3m.

a = 4.6373 Å, b = 4.6373 Å, c = 4.6373 Å
α = 90.00°, β = 90.00°, γ = 90.00°
Closest atoms and distances in Å follow each position.
Atoms (fractional coordinates):
Na  0.0000  0.0000  0.0000  12 Zn 3.28
Zn  0.0000  0.5000  0.5000  2 Ni 2.32
Zn  0.5000  0.0000  0.5000  2 Ni 2.32
Zn  0.5000  0.5000  0.0000  2 Ni 2.32
Ni  0.5000  0.5000  0.5000  6 Zn 2.32



Quick ranking, most stable first: (Q), (P).



(P)
# NaZr2Ni2

NaZr2Ni2 after structural relaxation (GGA-PBE, Alexandria via LeMat-Bulk).

Results
Its total moment is 0.000 μB per atom. As for the space group: P4/mbm.

a = 7.8858 Å, b = 7.8858 Å, c = 2.9318 Å
α = 90.00°, β = 90.00°, γ = 90.00°
Closest atoms and distances in Å follow each position.
Atoms (fractional coordinates):
Na  0.0000  0.0000  0.0000  2 Na 2.93, 4 Zr 3.00
Na  0.5000  0.5000  0.0000  2 Na 2.93, 4 Zr 3.00
Zr  0.1513  0.3487  0.0000  6 Ni 2.71-2.77, 2 Zr 2.93, 2 Na 3.00
Zr  0.3487  0.8487  0.0000  6 Ni 2.71-2.77, 2 Zr 2.93, 2 Na 3.00
Zr  0.6513  0.1513  0.0000  6 Ni 2.71-2.77, 2 Zr 2.93, 2 Na 3.00
Zr  0.8487  0.6513  0.0000  6 Ni 2.71-2.77, 2 Zr 2.93, 2 Na 3.00
Ni  0.1375  0.6375  0.5000  6 Zr 2.71-2.77, 2 Ni 2.93
Ni  0.3625  0.1375  0.5000  6 Zr 2.71-2.77, 2 Ni 2.93
Ni  0.6375  0.8625  0.5000  6 Zr 2.71-2.77, 2 Ni 2.93
Ni  0.8625  0.3625  0.5000  6 Zr 2.71-2.77, 2 Ni 2.93



(Q)
# NaZr2Ni2

NaZr2Ni2 after structural relaxation (GGA-PBE, Alexandria via LeMat-Bulk).

Results
Its total moment is 0.000 μB per atom. As for the space group: P4/mbm.

a = 7.6231 Å, b = 7.6231 Å, c = 3.1410 Å
α = 90.00°, β = 90.00°, γ = 90.00°
Closest atoms and distances in Å follow each position.
Atoms (fractional coordinates):
Na  0.0000  0.0000  0.0000  4 Ni 3.01, 2 Na 3.14, 8 Zr 3.27
Na  0.5000  0.5000  0.0000  4 Ni 3.01, 2 Na 3.14, 8 Zr 3.27
Zr  0.1575  0.3425  0.5000  6 Ni 2.68-2.82
Zr  0.3425  0.8425  0.5000  6 Ni 2.68-2.82
Zr  0.6575  0.1575  0.5000  6 Ni 2.68-2.82
Zr  0.8425  0.6575  0.5000  6 Ni 2.68-2.82
Ni  0.1256  0.6256  0.0000  6 Zr 2.68-2.82, 1 Ni 2.71
Ni  0.3744  0.1256  0.0000  6 Zr 2.68-2.82, 1 Ni 2.71
Ni  0.6256  0.8744  0.0000  6 Zr 2.68-2.82, 1 Ni 2.71
Ni  0.8744  0.3744  0.0000  6 Zr 2.68-2.82, 1 Ni 2.71



Quick ranking, most stable first: (Q), (P).



(P)
# NaZr3Ni

NaZr3Ni after structural relaxation (GGA-PBE, Alexandria via LeMat-Bulk).

Results
Its total moment is 0.000 μB per atom. As for the space group: Pm-3m.

a = 4.9794 Å, b = 4.9794 Å, c = 4.9794 Å
α = 90.00°, β = 90.00°, γ = 90.00°
Closest atoms and distances in Å follow each position.
Atoms (fractional coordinates):
Na  0.0000  0.0000  0.0000  12 Zr 3.52
Zr  0.0000  0.5000  0.5000  2 Ni 2.49
Zr  0.5000  0.0000  0.5000  2 Ni 2.49
Zr  0.5000  0.5000  0.0000  2 Ni 2.49
Ni  0.5000  0.5000  0.5000  6 Zr 2.49



(Q)
# NaZr3Ni

NaZr3Ni after structural relaxation (GGA-PBE, Alexandria via LeMat-Bulk).

Results
Its total moment is 0.000 μB per atom. As for the space group: Pm-3m.

a = 4.9041 Å, b = 4.9041 Å, c = 4.9041 Å
α = 90.00°, β = 90.00°, γ = 90.00°
Closest atoms and distances in Å follow each position.
Atoms (fractional coordinates):
Na  0.0000  0.0000  0.0000  6 Zr 2.45
Zr  0.0000  0.0000  0.5000  2 Na 2.45
Zr  0.0000  0.5000  0.0000  2 Na 2.45
Zr  0.5000  0.0000  0.0000  2 Na 2.45
Ni  0.5000  0.5000  0.5000  12 Zr 3.47



Quick ranking, most stable first: (P), (Q).



(P)
# Na5Np3O12

Na5Np3O12 after structural relaxation (GGA-PBE, Alexandria via LeMat-Bulk).

Results
Its total moment is 0.100 μB per atom. As for the space group: P-62m.

a = 9.7791 Å, b = 9.7791 Å, c = 3.4728 Å
α = 90.00°, β = 90.00°, γ = 120.00°
Closest atoms and distances in Å follow each position.
Atoms (fractional coordinates):
Na  0.0000  0.7058  0.0000  7 O 2.37-2.55
Na  0.2942  0.2942  0.0000  7 O 2.37-2.55
Na  0.3333  0.6667  0.0000  9 O 2.59-2.85
Na  0.6667  0.3333  0.0000  9 O 2.59-2.85
Na  0.7058  0.0000  0.0000  7 O 2.37-2.55
Np  0.0000  0.3326  0.5000  2 O 1.90
Np  0.3326  0.0000  0.5000  2 O 1.90
Np  0.6674  0.6674  0.5000  2 O 1.90
O  0.0000  0.2016  0.0000  2 Np 2.16
O  0.0000  0.4635  0.0000  2 Np 2.16, 1 Na 2.37
O  0.2016  0.0000  0.0000  2 Np 2.16
O  0.2153  0.7753  0.5000  1 Np 1.90
O  0.2247  0.4400  0.5000  1 Np 1.90
O  0.4400  0.2247  0.5000  1 Np 1.90
O  0.4635  0.0000  0.0000  2 Np 2.16, 1 Na 2.37
O  0.5365  0.5365  0.0000  2 Np 2.16, 1 Na 2.37
O  0.5599  0.7847  0.5000  1 Np 1.90
O  0.7753  0.2153  0.5000  1 Np 1.90
O  0.7847  0.5599  0.5000  1 Np 1.90
O  0.7984  0.7984  0.0000  2 Np 2.16



(Q)
# Na5Np3O12

Na5Np3O12 after structural relaxation (GGA-PBE, Alexandria via LeMat-Bulk).

Results
Its total moment is 0.100 μB per atom. As for the space group: Ia-3d.

a = 11.6664 Å, b = 11.6664 Å, c = 11.6664 Å
α = 109.47°, β = 109.47°, γ = 109.47°
Closest atoms and distances in Å follow each position.
Atoms (fractional coordinates):
Na  0.0000  0.0000  0.0000  6 O 2.36
Na  0.0000  0.0000  0.5000  6 O 2.36
Na  0.0000  0.5000  0.0000  6 O 2.36
Na  0.0000  0.5000  0.5000  6 O 2.36
Na  0.1250  0.7500  0.8750  4 O 2.23
Na  0.1250  0.8750  0.2500  4 O 2.23
Na  0.2500  0.1250  0.8750  4 O 2.23
Na  0.2500  0.6250  0.3750  4 O 2.23
Na  0.3750  0.2500  0.6250  4 O 2.23
Na  0.3750  0.6250  0.7500  4 O 2.23
Na  0.5000  0.0000  0.0000  6 O 2.36
Na  0.5000  0.0000  0.5000  6 O 2.36
Na  0.5000  0.5000  0.0000  6 O 2.36
Na  0.5000  0.5000  0.5000  6 O 2.36
Na  0.6250  0.3750  0.2500  4 O 2.23
Na  0.6250  0.7500  0.3750  4 O 2.23
Na  0.7500  0.3750  0.6250  4 O 2.23
Na  0.7500  0.8750  0.1250  4 O 2.23
Na  0.8750  0.1250  0.7500  4 O 2.23
Na  0.8750  0.2500  0.1250  4 O 2.23
Np  0.1250  0.2500  0.3750  4 O 1.97
Np  0.1250  0.3750  0.7500  4 O 1.97
Np  0.2500  0.3750  0.1250  4 O 1.97
Np  0.2500  0.8750  0.6250  4 O 1.97
Np  0.3750  0.1250  0.2500  4 O 1.97
Np  0.3750  0.7500  0.1250  4 O 1.97
Np  0.6250  0.2500  0.8750  4 O 1.97
Np  0.6250  0.8750  0.7500  4 O 1.97
Np  0.7500  0.1250  0.3750  4 O 1.97
Np  0.7500  0.6250  0.8750  4 O 1.97
Np  0.8750  0.6250  0.2500  4 O 1.97
Np  0.8750  0.7500  0.6250  4 O 1.97
O  0.0328  0.7133  0.6568  1 Np 1.97
O  0.0328  0.8195  0.3760  1 Np 1.97
O  0.0565  0.2133  0.1805  1 Np 1.97
O  0.0565  0.3432  0.8760  1 Np 1.97
O  0.1240  0.6805  0.4672  1 Np 1.97
O  0.1240  0.9435  0.6568  1 Np 1.97
O  0.1568  0.2133  0.5328  1 Np 1.97
O  0.1568  0.4435  0.6240  1 Np 1.97
O  0.1805  0.0565  0.2133  1 Np 1.97
O  0.1805  0.6240  0.9672  1 Np 1.97
O  0.2133  0.1805  0.0565  1 Np 1.97
O  0.2133  0.5328  0.1568  1 Np 1.97
O  0.2867  0.3432  0.9672  1 Np 1.97
O  0.2867  0.4435  0.3195  1 Np 1.97
O  0.3195  0.2867  0.4435  1 Np 1.97
O  0.3195  0.5328  0.8760  1 Np 1.97
O  0.3432  0.8760  0.0565  1 Np 1.97
O  0.3432  0.9672  0.2867  1 Np 1.97
O  0.3760  0.0328  0.8195  1 Np 1.97
O  0.3760  0.8432  0.5565  1 Np 1.97
O  0.4435  0.3195  0.2867  1 Np 1.97
O  0.4435  0.6240  0.1568  1 Np 1.97
O  0.4672  0.1240  0.6805  1 Np 1.97
O  0.4672  0.8432  0.7867  1 Np 1.97
O  0.5328  0.1568  0.2133  1 Np 1.97
O  0.5328  0.8760  0.3195  1 Np 1.97
O  0.5565  0.3760  0.8432  1 Np 1.97
O  0.5565  0.6805  0.7133  1 Np 1.97
O  0.6240  0.1568  0.4435  1 Np 1.97
O  0.6240  0.9672  0.1805  1 Np 1.97
O  0.6568  0.0328  0.7133  1 Np 1.97
O  0.6568  0.1240  0.9435  1 Np 1.97
O  0.6805  0.4672  0.1240  1 Np 1.97
O  0.6805  0.7133  0.5565  1 Np 1.97
O  0.7133  0.5565  0.6805  1 Np 1.97
O  0.7133  0.6568  0.0328  1 Np 1.97
O  0.7867  0.4672  0.8432  1 Np 1.97
O  0.7867  0.8195  0.9435  1 Np 1.97
O  0.8195  0.3760  0.0328  1 Np 1.97
O  0.8195  0.9435  0.7867  1 Np 1.97
O  0.8432  0.5565  0.3760  1 Np 1.97
O  0.8432  0.7867  0.4672  1 Np 1.97
O  0.8760  0.0565  0.3432  1 Np 1.97
O  0.8760  0.3195  0.5328  1 Np 1.97
O  0.9435  0.6568  0.1240  1 Np 1.97
O  0.9435  0.7867  0.8195  1 Np 1.97
O  0.9672  0.1805  0.6240  1 Np 1.97
O  0.9672  0.2867  0.3432  1 Np 1.97



Quick ranking, most stable first: (P), (Q).